Below is a relaxed LiMn2PO6 crystal, with properties calculated at the GGA+U level.

Summary:
Total energy in eV/atom: -6.755
Crystal system: triclinic
ρ in g/cm³: 4.5

a = 4.840 Å, b = 4.848 Å, c = 5.261 Å
α = 117.40°, β = 90.14°, γ = 119.73°
Fractional coordinates of all 10 atoms:
Li: 0.000 0.000 0.000
Mn: 0.279 0.559 0.844
Mn: 0.791 0.581 0.375
P: 0.474 0.952 0.428
O: 0.109 0.778 0.176
O: 0.231 0.795 0.628
O: 0.398 0.507 0.178
O: 0.560 0.393 0.628
O: 0.670 0.069 0.178
O: 0.831 0.063 0.627